# 1
NiAg3B: relaxed, PBE.

Values from the calculation:
For the total magnetization, the calculation gives 0.31 μB per formula unit. For the calculated volume, the calculation gives 21.8 Å³ per atom. For the formation energy, the calculation gives 1630 meV per atom. As for the space group: Pm-3m (221).

Cell lengths 4.7792, 4.7792, 4.7792 Å; angles 90.00, 90.00, 90.00 degrees
Each line ends with the local moment (μB).
Sites, in units of the cell vectors:
Ni (0.0000, 0.0000, 0.0000)  0.30
B (0.5000, 0.5000, 0.5000)  0.00
Ag (0.0000, 0.5000, 0.0000)  0.01
Ag (0.0000, 0.0000, 0.5000)  0.01
Ag (0.5000, 0.0000, 0.0000)  0.00

---

# 2
Ac5HgIr: relaxed, PBE.

Values from the calculation:
For the total magnetization, the calculation gives 0.00 μB per formula unit. For the calculated volume, the calculation gives 40.3 Å³ per atom. For the formation energy, the calculation gives -267 meV per atom. As for the space group: C2/c (15).

Cell lengths 7.6406, 7.6406, 11.9228 Å; angles 70.50, 70.50, 61.71 degrees
Sites, in units of the cell vectors:
Ac (0.9520, 0.6212, 0.1348)
Ac (0.2216, 0.5603, 0.5167)
Ac (0.6212, 0.9520, 0.6348)
Ac (0.9490, 0.0510, 0.2500)
Ac (0.4397, 0.7784, 0.9833)
Ac (0.5603, 0.2216, 0.0167)
Ac (0.0510, 0.9490, 0.7500)
Ac (0.3788, 0.0480, 0.3652)
Ac (0.7784, 0.4397, 0.4833)
Ac (0.0480, 0.3788, 0.8652)
Hg (0.5275, 0.4725, 0.2500)
Hg (0.4725, 0.5275, 0.7500)
Ir (0.0000, 0.0000, 0.0000)
Ir (0.0000, 0.0000, 0.5000)

---

# 3
LiDy2Pb: relaxed, PBE.

Values from the calculation:
For the total magnetization, the calculation gives 0.42 μB per formula unit. For the calculated volume, the calculation gives 26.3 Å³ per atom. For the formation energy, the calculation gives -293 meV per atom. As for the space group: P4/mmm (123).

Cell lengths 4.3424, 4.9232, 4.9232 Å; angles 90.00, 90.00, 90.00 degrees
Each line ends with the local moment (μB).
Sites, in units of the cell vectors:
Pb (0.5000, 0.5000, 0.5000)  -0.01
Li (0.5000, 0.0000, 0.0000)  0.00
Dy (0.0000, 0.0000, 0.5000)  0.16
Dy (0.0000, 0.5000, 0.0000)  0.16

---

# 4
BaCrP: relaxed, PBE.

Values from the calculation:
For the total magnetization, the calculation gives 2.96 μB per formula unit. For the calculated volume, the calculation gives 23.9 Å³ per atom. For the formation energy, the calculation gives -61 meV per atom. As for the space group: I4mm (107).

Cell lengths 6.3573, 6.3574, 3.5000 Å; angles 74.02, 74.02, 31.96 degrees
Each line ends with the local moment (μB).
Sites, in units of the cell vectors:
Ba (0.0052, 0.0051, 0.9948)  -0.12
Cr (0.2725, 0.2725, 0.7275)  3.19
P (0.7224, 0.7223, 0.2776)  -0.13

---

# 5
RbInHg2Pb4: relaxed, PBE.

Values from the calculation:
For the total magnetization, the calculation gives 0.00 μB per formula unit. For the calculated volume, the calculation gives 34.5 Å³ per atom. For the formation energy, the calculation gives -55 meV per atom. As for the space group: P4/mmm (123).

Cell lengths 5.4390, 5.4390, 9.3329 Å; angles 90.00, 90.00, 90.00 degrees
Sites, in units of the cell vectors:
Rb (0.0000, 0.0000, 0.5000)
In (0.0000, 0.0000, 0.0000)
Hg (0.5000, 0.5000, 0.3472)
Hg (0.5000, 0.5000, 0.6528)
Pb (0.0000, 0.5000, 0.1780)
Pb (0.5000, 0.0000, 0.8220)
Pb (0.5000, 0.0000, 0.1780)
Pb (0.0000, 0.5000, 0.8220)

---

# 6
TaAlRe2Mo: relaxed, PBE.

Values from the calculation:
For the total magnetization, the calculation gives 0.06 μB per formula unit. For the calculated volume, the calculation gives 21.5 Å³ per atom. For the formation energy, the calculation gives 2094 meV per atom. As for the space group: P4/mmm (123).

Cell lengths 4.7810, 4.7070, 4.7810 Å; angles 90.00, 90.00, 90.00 degrees
Each line ends with the local moment (μB).
Sites, in units of the cell vectors:
Re (0.0000, 0.0000, 0.5000)  -0.30
Re (0.5000, 0.0000, 0.0000)  -0.27
Mo (0.0000, 0.5000, 0.0000)  0.64
Al (0.5000, 0.5000, 0.5000)  0.00
Ta (0.0000, 0.0000, 0.0000)  0.00

---

# 7
Zr2InFeC: relaxed, PBE.

Values from the calculation:
For the total magnetization, the calculation gives 2.10 μB per formula unit. For the calculated volume, the calculation gives 16.8 Å³ per atom. For the formation energy, the calculation gives -334 meV per atom. As for the space group: P4/mmm (123).

Cell lengths 4.6496, 4.6496, 3.8774 Å; angles 90.00, 90.00, 90.00 degrees
Each line ends with the local moment (μB).
Sites, in units of the cell vectors:
C (0.0000, 0.0000, 0.0000)  -0.02
Fe (0.0000, 0.0000, 0.5000)  2.04
Zr (0.0000, 0.5000, 0.0000)  0.02
Zr (0.5000, 0.0000, 0.0000)  0.02
In (0.5000, 0.5000, 0.5000)  0.02

---

# 8
YFeHg2: relaxed, PBE.

Values from the calculation:
For the total magnetization, the calculation gives 2.34 μB per formula unit. For the calculated volume, the calculation gives 21.5 Å³ per atom. For the formation energy, the calculation gives 87 meV per atom. As for the space group: I-4m2 (119).

Cell lengths 5.4107, 5.4107, 5.4107 Å; angles 131.95, 131.95, 70.31 degrees
Each line ends with the local moment (μB).
Sites, in units of the cell vectors:
Fe (0.7500, 0.2500, 0.5000)  2.71
Hg (0.0000, 0.0000, 0.0000)  -0.03
Hg (0.2500, 0.7500, 0.5000)  -0.02
Y (0.5000, 0.5000, 0.0000)  -0.20

---

# 9
Dy7TmSc3: relaxed, PBE.

Values from the calculation:
For the total magnetization, the calculation gives 0.04 μB per formula unit. For the calculated volume, the calculation gives 31.1 Å³ per atom. For the formation energy, the calculation gives 219 meV per atom. As for the space group: P3m1 (156).

Cell lengths 8.2285, 6.9253, 6.9253 Å; angles 120.00, 90.00, 90.00 degrees
Sites, in units of the cell vectors:
Dy (0.1060, 0.1680, 0.8320)
Dy (0.1060, 0.1680, 0.3360)
Dy (0.1174, 0.6667, 0.3333)
Dy (0.4606, 0.8320, 0.1680)
Dy (0.4606, 0.3360, 0.1680)
Dy (0.4606, 0.8320, 0.6640)
Dy (0.1060, 0.6640, 0.8320)
Tm (0.4497, 0.3333, 0.6667)
Sc (0.7827, 0.4996, 0.5004)
Sc (0.7827, 0.4996, 0.9991)
Sc (0.7827, 0.0009, 0.5004)

---

# 10
Mn3Ag: relaxed, PBE.

Values from the calculation:
For the total magnetization, the calculation gives 3.60 μB per formula unit. For the calculated volume, the calculation gives 14.0 Å³ per atom. For the formation energy, the calculation gives 363 meV per atom. As for the space group: P-6m2 (187).

Cell lengths 2.7291, 2.7291, 8.6766 Å; angles 90.00, 90.00, 120.00 degrees
Each line ends with the local moment (μB).
Sites, in units of the cell vectors:
Ag (0.0000, 0.0000, 0.0000)  0.01
Mn (0.0000, 0.0000, 0.5000)  -2.22
Mn (0.3333, 0.6667, 0.2753)  2.86
Mn (0.3333, 0.6667, 0.7247)  2.86

---

# 11
MgGeIBr2: relaxed, PBE.

Values from the calculation:
For the total magnetization, the calculation gives 0.84 μB per formula unit. For the calculated volume, the calculation gives 39.4 Å³ per atom. The formation energy (no corrections) comes out at 469 meV/atom. As for the space group: P4/mmm (123).

Cell lengths 5.7923, 5.8695, 5.7923 Å; angles 90.00, 90.00, 90.00 degrees
Each line ends with the local moment (μB).
Sites, in units of the cell vectors:
I (0.0000, 0.0000, 0.0000)  -0.02
Ge (0.0000, 0.5000, 0.0000)  0.40
Mg (0.5000, 0.5000, 0.5000)  -0.06
Br (0.0000, 0.0000, 0.5000)  0.03
Br (0.5000, 0.0000, 0.0000)  0.01

---

# 12
AsRh3I: relaxed, PBE.

Values from the calculation:
For the total magnetization, the calculation gives 0.00 μB per formula unit. For the calculated volume, the calculation gives 20.1 Å³ per atom. The formation energy (no corrections) comes out at 506 meV/atom. As for the space group: Pm-3m (221).

Cell lengths 4.6460, 4.6460, 4.6460 Å; angles 90.00, 90.00, 90.00 degrees
Sites, in units of the cell vectors:
I (0.5000, 0.5000, 0.5000)
As (0.0000, 0.0000, 0.0000)
Rh (0.0000, 0.5000, 0.0000)
Rh (0.0000, 0.0000, 0.5000)
Rh (0.5000, 0.0000, 0.0000)